Entry 1:
Below is crystalline La3In3Hg2Pd at its relaxed geometry, with properties calculated at the PBE-GGA level.

Unit cell a=7.7588 b=7.7588 c=4.5881 alpha=90.00 beta=90.00 gamma=120.00
Last column: nearest neighbours and their distance in Å.
Fractional coordinates of all 9 atoms:
La (0.0000, 0.4048, 0.0000)  1 Pd 3.14, 4 Hg 3.29
La (0.4048, 0.0000, 0.0000)  1 Pd 3.14, 4 Hg 3.29
La (0.5952, 0.5952, 0.0000)  1 Pd 3.14, 4 Hg 3.29
In (0.0000, 0.7652, 0.5000)  2 Pd 2.93, 2 Hg 3.04, 2 In 3.16
In (0.2348, 0.2348, 0.5000)  2 Pd 2.93, 2 Hg 3.04, 2 In 3.16
In (0.7652, 0.0000, 0.5000)  2 Pd 2.93, 2 Hg 3.04, 2 In 3.16
Hg (0.3333, 0.6667, 0.5000)  3 In 3.04, 6 La 3.29
Hg (0.6667, 0.3333, 0.5000)  3 In 3.04, 6 La 3.29
Pd (0.0000, 0.0000, 0.0000)  6 In 2.93, 3 La 3.14

The calculation puts the total magnetization at 0.00 μB per formula unit. The uncorrected energy is -0.140 Ha/atom. The formation energy comes out at -0.609 eV/atom.



Entry 2:
Below is crystalline LaInHgPd3 at its relaxed geometry, with properties calculated at the PBE-GGA level.

Unit cell a=7.7184 b=7.7184 c=6.1933 alpha=90.00 beta=90.00 gamma=135.51
Last column: nearest neighbours and their distance in Å.
Fractional coordinates of all 12 atoms:
La (0.1563, 0.8437, 0.7500)  6 Pd 2.93-3.06, 2 Hg 3.10
La (0.8437, 0.1563, 0.2500)  6 Pd 2.93-3.06, 2 Hg 3.10
In (0.3866, 0.6134, 0.7500)  4 Pd 2.71, 2 Hg 2.99
In (0.6134, 0.3866, 0.2500)  4 Pd 2.71, 2 Hg 2.99
Hg (0.1580, 0.8420, 0.2500)  5 Pd 2.80-3.08, 2 In 2.99, 2 La 3.10
Hg (0.8420, 0.1580, 0.7500)  5 Pd 2.80-3.08, 2 In 2.99, 2 La 3.10
Pd (0.2401, 0.2401, 0.0000)  2 In 2.71, 3 Pd 2.81-3.01
Pd (0.2401, 0.2401, 0.5000)  2 In 2.71, 3 Pd 2.81-3.01
Pd (0.3540, 0.6460, 0.2500)  1 Hg 2.80, 2 La 2.93, 4 Pd 3.01, 2 In 3.13
Pd (0.6460, 0.3540, 0.7500)  1 Hg 2.80, 2 La 2.93, 4 Pd 3.01, 2 In 3.13
Pd (0.7599, 0.7599, 0.0000)  2 In 2.71, 3 Pd 2.81-3.01
Pd (0.7599, 0.7599, 0.5000)  2 In 2.71, 3 Pd 2.81-3.01

The calculation puts the total magnetization at 0.00 μB per formula unit. The uncorrected energy is -0.161 Ha/atom. The formation energy comes out at -0.468 eV/atom.



no.,theoretical density (Mg/m³)
1,8.81
2,9.94